VCu2Bi, optimized geometry, DFT PBE-GGA; raw total energy = -4.739 eV/atom
1.0
-3.656 3.656 2.682
3.656 -3.656 2.682
3.656 3.656 -2.682
V Cu Bi
2 4 2
direct
0.000 0.000 0.000 V
0.750 0.250 0.500 V
0.105 0.625 0.980 Cu
0.375 0.355 0.480 Cu
0.645 0.125 0.020 Cu
0.875 0.895 0.520 Cu
0.250 0.750 0.500 Bi
0.500 0.500 0.000 Bi

V3CuBi, optimized geometry, DFT PBE-GGA; raw total energy = -5.264 eV/atom; distance to the lowest polymorph of the same formula = 853 meV per atom
1.0
5.231 0.000 0.000
0.000 5.231 0.000
0.000 0.000 5.231
V Cu Bi
3 1 1
direct
0.000 0.000 0.500 V
0.000 0.500 0.000 V
0.500 0.000 0.000 V
0.500 0.500 0.500 Cu
0.000 0.000 0.000 Bi